# 1
Compound: KHg2MoO6
Source: the Alexandria database
Functional: PBE+U
Structure: optimized geometry

abc: 5.9662 5.9651 6.2732
angles: 61.60 61.59 59.98
Last column: magnetic moment on the atom in μB.
Sites, in units of the cell vectors:
Mo  0.3051  0.3051  0.0847  -0.05
O  0.1769  0.3619  0.7940  0.27
O  0.6674  0.1766  0.7941  0.27
O  0.9716  0.5204  0.2410  0.01
O  0.2670  0.9717  0.2410  0.01
O  0.5201  0.2670  0.2411  0.01
O  0.3620  0.6672  0.7941  0.27
Hg  0.0590  0.0592  0.8228  0.08
Hg  0.5237  0.5236  0.4290  0.02
K  0.8089  0.8088  0.5734  0.00

***

# 2
Compound: KHgMoO4
Source: the Alexandria database
Functional: PBE+U
Structure: optimized geometry

abc: 7.2058 7.2058 7.9682
angles: 81.74 81.74 59.46
Sites, in units of the cell vectors:
Mo  0.6396  0.6396  0.7224
Mo  0.3604  0.3604  0.2776
O  0.4689  0.8681  0.8405
O  0.1319  0.5311  0.1595
O  0.7286  0.7286  0.5044
O  0.5311  0.1319  0.1595
O  0.8681  0.4689  0.8405
O  0.4983  0.4983  0.2996
O  0.5017  0.5017  0.7004
O  0.2714  0.2714  0.4956
Hg  0.8969  0.8969  0.4985
Hg  0.1031  0.1031  0.5015
K  0.7039  0.7039  0.1482
K  0.2961  0.2961  0.8518

***

# 3
Compound: KHg2Mo2O7
Source: the Alexandria database
Functional: PBE+U
Structure: optimized geometry

abc: 5.8773 5.8773 9.1987
angles: 71.37 71.37 60.00
Sites, in units of the cell vectors:
O  0.0845  0.8209  0.7067
O  0.1791  0.9155  0.2933
O  0.6122  0.1791  0.2933
O  0.9155  0.6122  0.2933
O  0.0000  0.0000  0.0000
O  0.3878  0.0845  0.7067
O  0.8209  0.3878  0.7067
Hg  0.3124  0.3124  0.0628
Hg  0.6876  0.6876  0.9372
Mo  0.0751  0.0751  0.7747
Mo  0.9249  0.9249  0.2253
K  0.5000  0.5000  0.5000

***

| no. | total magnetic moment (μB per formula unit) | total DFT energy (no corrections) (eV per atom) |
| --- | --- | --- |
| 1 | 1.0 | -4.770 |
| 2 | 0.1 | -5.482 |
| 3 | 0.0 | -5.485 |